First-principles (PBE-GGA) data for a geometry-optimized TlRe2Tc structure, as listed in Alexandria.

Output
The value obtained for the volume is 16.97 A^3/atom. The energy of formation comes out at 715.3 meV per atom. The calculation puts the density at 16.5 g/cm3. The density of states at the Fermi level is 8.42 states/eV per cell.

a b c (Å): 2.973 4.812 9.491
angles (deg): 90.00 90.00 90.00
Space group Cmm2 (No. 35)
Asymmetric unit:
Tl 0.000 0.000 0.000 [2 per cell]
Re 0.000 0.000 0.495 [2 per cell]
Re 0.000 0.500 0.725 [2 per cell]
Tc 0.000 0.500 0.268 [2 per cell]